Entry 1:
SrSb2IN | PBE | optimized geometry

abc: 4.8523 4.8523 5.4091
angles: 90.00 90.00 90.00
Sites, in units of the cell vectors:
Sr 0.0000 0.0000 0.0000
Sb 0.0000 0.5000 0.5000
Sb 0.5000 0.0000 0.5000
I 0.5000 0.5000 0.0000
N 0.5000 0.5000 0.5000

E above lowest polymorph ... 0.0 meV per atom
DFT total energy ... -0.1393 hartree per atom
Raw formation energy ... 0.169 eV/atom

=====

Entry 2:
Tb2Ge5Pd3 | PBE | optimized geometry

abc: 8.4635 8.4635 8.4635
angles: 105.11 90.22 137.35
Sites, in units of the cell vectors:
Tb 0.1307 0.2283 0.3590
Tb 0.3693 0.7283 0.0977
Tb 0.6307 0.2717 0.9023
Tb 0.8693 0.7717 0.6410
Ge 0.0259 0.7500 0.2759
Ge 0.1047 0.6579 0.7626
Ge 0.2500 0.2500 0.0000
Ge 0.3953 0.1579 0.5532
Ge 0.4741 0.7500 0.7241
Ge 0.5259 0.2500 0.2759
Ge 0.6047 0.8421 0.4468
Ge 0.7500 0.7500 0.0000
Ge 0.8953 0.3421 0.2374
Ge 0.9741 0.2500 0.7241
Pd 0.1422 0.8881 0.0303
Pd 0.2500 0.7500 0.5000
Pd 0.3578 0.3881 0.7459
Pd 0.6422 0.6119 0.2541
Pd 0.7500 0.2500 0.5000
Pd 0.8578 0.1119 0.9697

E above lowest polymorph ... 0.0 meV per atom
ΔH_f (0 K) ... -0.700 eV per atom
DFT total energy ... -0.2019 hartree per atom

=====

Entry 3:
TcPb3 | PBE | optimized geometry

abc: 5.2579 5.2579 5.2579
angles: 60.00 60.00 60.00
Sites, in units of the cell vectors:
Tc 0.0000 0.0000 0.0000
Pb 0.2500 0.2500 0.2500
Pb 0.5000 0.5000 0.5000
Pb 0.7500 0.7500 0.7500

E above lowest polymorph ... 434.4 meV per atom
ΔH_f (0 K) ... 0.741 eV per atom
DFT total energy ... -0.1702 hartree per atom

=====

Entry 4:
Cs2PaCu3Cl12 | PBE | optimized geometry

abc: 10.8307 10.8307 10.8307
angles: 46.94 46.94 46.94
Sites, in units of the cell vectors:
Cs 0.0796 0.0796 0.0796
Cs 0.9204 0.9204 0.9204
Pa 0.5000 0.5000 0.5000
Cu 0.0000 0.5000 0.5000
Cu 0.5000 0.0000 0.5000
Cu 0.5000 0.5000 0.0000
Cl 0.1667 0.5913 0.5913
Cl 0.1900 0.1900 0.5810
Cl 0.1900 0.5810 0.1900
Cl 0.4087 0.4087 0.8333
Cl 0.4087 0.8333 0.4087
Cl 0.4190 0.8100 0.8100
Cl 0.5810 0.1900 0.1900
Cl 0.5913 0.1667 0.5913
Cl 0.5913 0.5913 0.1667
Cl 0.8100 0.4190 0.8100
Cl 0.8100 0.8100 0.4190
Cl 0.8333 0.4087 0.4087

DFT total energy ... -0.1412 hartree per atom
Raw formation energy ... -1.305 eV/atom